Below is a relaxed K4BiB2 crystal, with properties calculated at the PBE level.

The structure in POSCAR format:
```
K4BiB2
1.0
-3.0979 5.6346 -2.3871
-3.8420 0.2915 5.6744
1.5567 7.0790 4.8357
K B Bi
4 2 1
direct
0.2406 0.2406 0.5187
0.5000 0.0000 0.0000
0.7594 0.7594 0.4813
0.0000 0.5000 0.0000
0.4453 0.4453 0.1095
0.5547 0.5547 0.8905
0.0000 0.0000 0.0000
```

---

Below is a relaxed K2BiB crystal, with properties calculated at the PBE level.

The structure in POSCAR format:
```
K2BiB
1.0
12.4929 0.0000 0.0000
0.0000 12.4929 0.0000
6.2465 6.2465 2.4074
K B Bi
4 2 2
direct
0.3563 0.6250 0.2500
0.8750 0.6437 0.7500
0.3750 0.6063 0.7500
0.3937 0.1250 0.2500
0.2500 0.7500 0.5000
0.5000 0.5000 0.0000
0.0000 0.0000 0.0000
0.7500 0.2500 0.5000
```

---

Below is a relaxed KBi3B crystal, with properties calculated at the PBE level.

The structure in POSCAR format:
```
KBi3B
1.0
-1.0515 -5.3795 -2.3245
5.8509 -1.0973 -0.1073
-0.3315 -2.3032 5.4803
Bi K B
3 1 1
direct
0.5000 0.0000 0.0000
0.0000 0.5000 0.0000
0.0000 0.0000 0.5000
0.0000 0.0000 0.0000
0.5000 0.5000 0.5000
```

---

Below is a relaxed KMn2BiB crystal, with properties calculated at the PBE level.

The structure in POSCAR format:
```
KMn2BiB
1.0
5.3226 0.0000 0.0000
0.0000 5.0967 0.0000
0.0000 0.0000 5.3226
Mn B Bi K
2 1 1 1
direct
0.5000 0.0000 0.0000
0.0000 0.0000 0.5000
0.0000 0.5000 0.0000
0.0000 0.0000 0.0000
0.5000 0.5000 0.5000
```

---

Below is a relaxed KBiB2N crystal, with properties calculated at the PBE level.

The structure in POSCAR format:
```
KBiB2N
1.0
-1.5681 2.8677 2.4405
2.8226 -1.5448 3.6289
2.9231 2.5936 -1.1695
N B K Bi
1 2 1 1
direct
0.0000 0.0000 0.0000
0.0000 0.0000 0.5000
0.5000 0.0000 0.0000
0.0000 0.5000 0.0000
0.5000 0.5000 0.5000
```

Values from the calculation:
raw formation energy = 1925 meV per atom

---

Below is a relaxed K2BiBO4 crystal, with properties calculated at the PBE level.

The structure in POSCAR format:
```
K2BiBO4
1.0
-4.7033 -1.8269 1.8904
-3.7147 -2.7707 -4.2409
2.5240 -11.0395 3.2901
O B Bi K
8 2 2 4
direct
0.2122 0.3369 0.4249
0.3871 0.8369 0.0751
0.9740 0.6631 0.5751
0.7760 0.8369 0.9249
0.3629 0.6631 0.4249
0.4509 0.3369 0.5751
0.5378 0.1631 0.0751
0.2991 0.1631 0.9249
0.2500 0.5000 0.5000
0.5000 0.0000 0.0000
0.7500 0.5000 0.5000
0.0000 0.0000 0.0000
0.1860 0.0000 0.6280
0.8140 0.0000 0.3720
0.5640 0.5000 0.8720
0.9360 0.5000 0.1280
```

Values from the calculation:
raw formation energy = -1389 meV per atom

---

Below is a relaxed K2BiB2O6 crystal, with properties calculated at the PBE level.

The structure in POSCAR format:
```
K2BiB2O6
1.0
5.4202 0.0000 0.0000
-2.7101 4.6904 -0.1678
0.0000 -2.8859 6.3665
O B Bi K
6 2 1 2
direct
0.7630 0.9699 0.7308
0.7620 0.5239 0.7287
0.2069 0.9699 0.7308
0.2380 0.4761 0.2713
0.2370 0.0301 0.2692
0.7931 0.0301 0.2692
0.0937 0.1874 0.2825
0.9063 0.8126 0.7175
0.5000 0.0000 0.5000
0.2945 0.5890 0.8830
0.7055 0.4110 0.1170
```

Values from the calculation:
raw formation energy = -1901 meV per atom

---

Below is a relaxed K2BiBRh crystal, with properties calculated at the PBE level.

The structure in POSCAR format:
```
K2BiBRh
1.0
6.0711 0.0000 0.0000
0.0000 3.9261 0.0000
0.0000 0.0000 6.0711
B Bi K Rh
1 1 2 1
direct
0.0000 0.0000 0.0000
0.5000 0.5000 0.5000
0.5000 0.0000 0.0000
0.0000 0.0000 0.5000
0.0000 0.5000 0.0000
```

---

Below is a relaxed KBi2B2S6 crystal, with properties calculated at the PBE level.

The structure in POSCAR format:
```
KBi2B2S6
1.0
8.8054 -0.7431 -0.6557
3.9309 5.5562 0.1400
0.0749 -2.7927 5.7891
B S K Bi
2 6 1 2
direct
0.2108 0.7627 0.8233
0.7892 0.2373 0.1767
0.2814 0.8559 0.0870
0.7186 0.1441 0.9130
0.1514 0.5354 0.7714
0.1973 0.9194 0.6341
0.8027 0.0806 0.3659
0.8486 0.4646 0.2286
0.5000 0.0000 0.5000
0.1595 0.6427 0.2311
0.8405 0.3573 0.7689
```

Values from the calculation:
raw formation energy = -451 meV per atom

---

Below is a relaxed K2BiB2S6 crystal, with properties calculated at the PBE level.

The structure in POSCAR format:
```
K2BiB2S6
1.0
6.5605 0.0000 0.0000
-3.2802 5.2887 -0.0724
0.0000 -3.0817 8.2118
S B K Bi
6 2 2 1
direct
0.7926 0.0624 0.7693
0.7302 0.9376 0.2307
0.7794 0.5588 0.5219
0.2698 0.0624 0.7693
0.2074 0.9376 0.2307
0.2206 0.4412 0.4781
0.9457 0.8914 0.6887
0.0543 0.1086 0.3113
0.6894 0.3789 0.1314
0.3106 0.6211 0.8686
0.5000 0.0000 0.5000
```

Values from the calculation:
raw formation energy = -591 meV per atom

---

Below is a relaxed K2BiBS4 crystal, with properties calculated at the PBE level.

The structure in POSCAR format:
```
K2BiBS4
1.0
-6.3793 -1.6839 6.0806
-3.0051 -4.5746 -7.1096
7.3964 -2.2867 2.3932
S K Bi B
8 4 2 2
direct
0.2411 0.6799 0.9418
0.6360 0.6298 0.4681
0.3640 0.3702 0.5319
0.1799 0.7411 0.4418
0.7589 0.3201 0.0582
0.8201 0.2589 0.5582
0.1298 0.1360 0.9681
0.8702 0.8640 0.0319
0.0000 0.0000 0.5000
0.5000 0.5000 0.0000
0.5000 0.0000 0.5000
0.5000 0.0000 0.0000
0.0000 0.5000 0.0000
0.0000 0.5000 0.5000
0.5000 0.5000 0.5000
0.0000 0.0000 0.0000
```

Values from the calculation:
raw formation energy = -569 meV per atom

---

Below is a relaxed KBiB2Sb crystal, with properties calculated at the PBE level.

The structure in POSCAR format:
```
KBiB2Sb
1.0
4.7812 0.0000 0.0000
0.0000 6.0983 0.0000
0.0000 0.0000 4.7812
Bi K Sb B
1 1 1 2
direct
0.0000 0.5000 0.0000
0.5000 0.5000 0.5000
0.0000 0.0000 0.0000
0.0000 0.0000 0.5000
0.5000 0.0000 0.0000
```

Values from the calculation:
raw formation energy = 1406 meV per atom

---

E_tot for every record listed, in sequence, given in eV per atom: -2.424, -2.673, -1.879, -4.549, -3.406, -5.462, -6.372, -3.625, -4.721, -4.608, -4.227, -3.085.